a | The following is a PBE calculation of an optimized crystal structure of YRhBr2, from the Alexandria database.

Cell lengths 4.6049, 5.5371, 4.6013 Å; angles 66.21, 88.33, 113.81 degrees
Fractional coordinates of all 4 atoms:
Y (0.5000, 0.5000, 0.0000)
Rh (0.0000, 0.5000, 0.5000)
Br (0.0000, 0.0000, 0.0000)
Br (0.5000, 0.0000, 0.5000)

Computed properties:
Space group ... No. 69
Fermi-level density of states ... 1.704 states/eV per cell



b | The following is a PBE calculation of an optimized crystal structure of YRhBr2, from the Alexandria database.

Cell lengths 7.6718, 7.6718, 4.2733 Å; angles 87.64, 87.64, 28.48 degrees
Fractional coordinates of all 4 atoms:
Y (0.7500, 0.7500, 0.7500)
Rh (0.2500, 0.2500, 0.2500)
Br (0.1071, 0.1071, 0.9699)
Br (0.3929, 0.3929, 0.5301)

Computed properties:
Space group ... No. 12



Of them, the most stable is b and the least stable is a.



a | The following is a PBE calculation of an optimized crystal structure of Fe2HW, from the Alexandria database.

Cell lengths 4.9212, 4.9212, 4.8268 Å; angles 59.35, 59.35, 90.00 degrees
Fractional coordinates of all 8 atoms:
H (0.5000, 0.5000, 0.0000)
H (0.2500, 0.7500, 0.5000)
Fe (0.4589, 0.1250, 0.2500)
Fe (0.2911, 0.6250, 0.2500)
Fe (0.3750, 0.5411, 0.7500)
Fe (0.8750, 0.7089, 0.7500)
W (0.0000, 0.0000, 0.0000)
W (0.7500, 0.2500, 0.5000)

Computed properties:
Space group ... No. 122
Fermi-level density of states ... 8.132 states/eV per cell



b | The following is a PBE calculation of an optimized crystal structure of Fe2HW, from the Alexandria database.

Cell lengths 2.5901, 2.5901, 6.3538 Å; angles 90.00, 90.00, 90.00 degrees
Each line ends with the local moment (μB).
Fractional coordinates of all 4 atoms:
H (0.5000, 0.5000, 0.0000)  -0.02
Fe (0.0000, 0.0000, 0.8200)  2.02
Fe (0.0000, 0.0000, 0.1800)  2.02
W (0.5000, 0.5000, 0.5000)  -0.24

Computed properties:
Space group ... No. 123
Fermi-level density of states ... 3.942 states/eV per cell



Of them, the most stable is a and the least stable is b.



a | The following is a PBE calculation of an optimized crystal structure of Re3Ag, from the Alexandria database.

Cell lengths 5.2617, 5.2617, 5.2617 Å; angles 117.20, 117.20, 117.20 degrees
Fractional coordinates of all 4 atoms:
Re (0.0000, 0.5000, 0.5000)
Re (0.5000, 0.0000, 0.5000)
Re (0.5000, 0.5000, 0.0000)
Ag (0.0000, 0.0000, 0.0000)

Computed properties:
Space group ... No. 166
Fermi-level density of states ... 3.114 states/eV per cell



b | The following is a PBE calculation of an optimized crystal structure of Re3Ag, from the Alexandria database.

Cell lengths 4.9013, 4.9013, 11.3623 Å; angles 150.63, 150.63, 33.18 degrees
Fractional coordinates of all 4 atoms:
Re (0.0327, 0.0327, 0.2718)
Re (0.0000, 0.0000, 0.5000)
Re (0.9673, 0.9673, 0.7282)
Ag (0.0000, 0.0000, 0.0000)

Computed properties:
Space group ... No. 12
Fermi-level density of states ... 2.882 states/eV per cell



Of them, the most stable is b and the least stable is a.



a | The following is a PBE calculation of an optimized crystal structure of Zr2InCl, from the Alexandria database.

Cell lengths 3.3642, 3.8293, 7.1121 Å; angles 90.00, 90.00, 90.00 degrees
Fractional coordinates of all 4 atoms:
Cl (0.0000, 0.0000, 0.4111)
In (0.5000, 0.5000, 0.7856)
Zr (0.0000, 0.0000, 0.0200)
Zr (0.5000, 0.5000, 0.2833)

Computed properties:
Space group ... No. 25
Fermi-level density of states ... 3.221 states/eV per cell



b | The following is a PBE calculation of an optimized crystal structure of Zr2InCl, from the Alexandria database.

Cell lengths 3.2664, 5.5898, 4.9666 Å; angles 90.00, 90.00, 90.00 degrees
Fractional coordinates of all 4 atoms:
Cl (0.5000, 0.0000, 0.5000)
In (0.0000, 0.5000, 0.5000)
Zr (0.0000, 0.0000, 0.0000)
Zr (0.5000, 0.5000, 0.0000)

Computed properties:
Space group ... No. 47
Fermi-level density of states ... 3.975 states/eV per cell



Of them, the most stable is a and the least stable is b.



a | The following is a PBE calculation of an optimized crystal structure of MnWBr2, from the Alexandria database.

Cell lengths 8.1305, 8.1305, 4.3230 Å; angles 74.21, 74.21, 22.41 degrees
Each line ends with the local moment (μB).
Fractional coordinates of all 4 atoms:
Br (0.1112, 0.1112, 0.8914)  0.03
Br (0.3888, 0.3888, 0.6086)  0.03
Mn (0.2500, 0.2500, 0.2500)  3.53
W (0.7500, 0.7500, 0.7500)  -0.94

Computed properties:
Space group ... No. 12
Fermi-level density of states ... 1.743 states/eV per cell



b | The following is a PBE calculation of an optimized crystal structure of MnWBr2, from the Alexandria database.

Cell lengths 3.2744, 3.2744, 9.9486 Å; angles 90.00, 90.00, 121.99 degrees
Each line ends with the local moment (μB).
Fractional coordinates of all 4 atoms:
Br (0.0000, 0.0000, 0.9339)  0.00
Br (0.5000, 0.5000, 0.3225)  0.10
Mn (0.0000, 0.0000, 0.5166)  3.66
W (0.5000, 0.5000, 0.7271)  -0.54

Computed properties:
Space group ... No. 35
Fermi-level density of states ... 2.155 states/eV per cell



Of them, the most stable is a and the least stable is b.



a | The following is a PBE calculation of an optimized crystal structure of PmPr3Er, from the Alexandria database.

Cell lengths 6.9038, 6.1351, 9.4852 Å; angles 108.58, 111.34, 90.00 degrees
Fractional coordinates of all 10 atoms:
Pm (0.0000, 0.5000, 0.0000)
Pm (0.0000, 0.0000, 0.0000)
Pr (0.7745, 0.5259, 0.5490)
Pr (0.5798, 0.0983, 0.6954)
Pr (0.2255, 0.4741, 0.4510)
Pr (0.1156, 0.0983, 0.6954)
Pr (0.4202, 0.9017, 0.3046)
Pr (0.8844, 0.9017, 0.3046)
Er (0.4489, 0.6996, 0.8978)
Er (0.5511, 0.3004, 0.1022)

Computed properties:
Space group ... No. 12
Fermi-level density of states ... 16.808 states/eV per cell



b | The following is a PBE calculation of an optimized crystal structure of PmPr3Er, from the Alexandria database.

Cell lengths 8.2038, 8.2038, 6.2443 Å; angles 90.00, 90.00, 59.74 degrees
Fractional coordinates of all 10 atoms:
Pm (0.2001, 0.2001, 0.2500)
Pm (0.7999, 0.7999, 0.7500)
Pr (0.5971, 0.1978, 0.2500)
Pr (0.1978, 0.5971, 0.2500)
Pr (0.8022, 0.4029, 0.7500)
Pr (0.4029, 0.8022, 0.7500)
Pr (0.0000, 0.0000, 0.0000)
Pr (0.0000, 0.0000, 0.5000)
Er (0.6703, 0.6703, 0.2500)
Er (0.3297, 0.3297, 0.7500)

Computed properties:
Space group ... No. 63
Fermi-level density of states ... 7.953 states/eV per cell



Of them, the most stable is a and the least stable is b.